10
Lattice="4.757 0.000 0.000 0.000 4.423 0.000 -2.378 0.000 6.868" Properties=species:S:1:pos:R:3 comment="RuPtRh3 | the Alexandria database | GGA-PBE | relaxed" crystal_system=monoclinic final_energy_ev_per_cell=-74.4 formation_energy_ev_per_atom=0.0329 density_g_cm3=13.9 pbc="T T T"
Ru -0.800 1.106 2.770
Ru 3.179 3.317 4.098
Pt 1.582 1.106 1.367
Pt 0.797 3.317 5.501
Rh -1.575 3.317 6.851
Rh -0.803 1.106 5.451
Rh 0.758 3.317 2.760
Rh 1.621 1.106 4.108
Rh 3.181 3.317 1.417
Rh 3.954 1.106 0.017


11
Lattice="0.000 4.090 8.964 2.482 0.000 8.964 2.482 4.090 0.000" Properties=species:S:1:pos:R:3 comment="Ru5Pt2Rh4 | the Alexandria database | GGA-PBE | relaxed" crystal_system=orthorhombic final_energy_ev_per_cell=-80.9 formation_energy_ev_per_atom=0.6319 density_g_cm3=11.9 pbc="T T T"
Ru 0.000 0.000 0.000
Ru 1.241 2.045 0.000
Ru 1.241 2.045 4.482
Ru 1.241 2.045 8.964
Ru 3.722 6.135 13.446
Pt 2.482 4.090 5.848
Pt 2.482 4.090 12.079
Rh 2.482 1.314 6.650
Rh 2.482 1.314 11.278
Rh 2.482 6.866 6.650
Rh 2.482 6.866 11.278


Copy entry 1 word for word.
10
Lattice="4.757 0.000 0.000 0.000 4.423 0.000 -2.378 0.000 6.868" Properties=species:S:1:pos:R:3 comment="RuPtRh3 | the Alexandria database | GGA-PBE | relaxed" crystal_system=monoclinic final_energy_ev_per_cell=-74.4 formation_energy_ev_per_atom=0.0329 density_g_cm3=13.9 pbc="T T T"
Ru -0.800 1.106 2.770
Ru 3.179 3.317 4.098
Pt 1.582 1.106 1.367
Pt 0.797 3.317 5.501
Rh -1.575 3.317 6.851
Rh -0.803 1.106 5.451
Rh 0.758 3.317 2.760
Rh 1.621 1.106 4.108
Rh 3.181 3.317 1.417
Rh 3.954 1.106 0.017